# 1
# BiAsN2F SCAN PBEsol geometry
# Formation energy without anion corrections = 107 kJ per mole of atoms
# Crystal system = tetragonal
data_BiAsN2F
_symmetry_space_group_name_H-M 'P 4/m m m'
_symmetry_Int_Tables_number 123
_symmetry_space_group_name_Hall '-P 4 2'
_cell_length_a 4.316
_cell_length_b 4.316
_cell_length_c 4.220
_cell_angle_alpha 90.00
_cell_angle_beta 90.00
_cell_angle_gamma 90.00
loop_
_atom_site_label
_atom_site_fract_x
_atom_site_fract_y
_atom_site_fract_z
_atom_site_occupancy
Bi1 0.000 0.000 0.000 1
As1 0.500 0.500 0.500 1
N1 0.000 0.500 0.000 1
F1 0.000 0.000 0.500 1


# 2
# BiAs2SeF SCAN PBEsol geometry
# Formation energy without anion corrections = 24 kJ per mole of atoms
# Crystal system = tetragonal
data_BiAs2SeF
_symmetry_space_group_name_H-M 'P 4/m m m'
_symmetry_Int_Tables_number 123
_symmetry_space_group_name_Hall '-P 4 2'
_cell_length_a 4.385
_cell_length_b 4.385
_cell_length_c 5.295
_cell_angle_alpha 90.00
_cell_angle_beta 90.00
_cell_angle_gamma 90.00
loop_
_atom_site_label
_atom_site_fract_x
_atom_site_fract_y
_atom_site_fract_z
_atom_site_occupancy
Bi1 0.000 0.000 0.000 1
As1 0.000 0.500 0.500 1
Se1 0.500 0.500 0.000 1
F1 0.500 0.500 0.500 1


# 3
# Fe3BiAs SCAN PBEsol geometry
# Energy relative to the lowest polymorph listed for this composition = 528 kJ/mol of formula units
# Crystal system = cubic
# ΔH_f (0 K) = 162 kJ/mol of atoms
data_Fe3BiAs
_symmetry_space_group_name_H-M 'P m -3 m'
_symmetry_Int_Tables_number 221
_symmetry_space_group_name_Hall '-P 4 2 3'
_cell_length_a 4.792
_cell_length_b 4.792
_cell_length_c 4.792
_cell_angle_alpha 90.00
_cell_angle_beta 90.00
_cell_angle_gamma 90.00
loop_
_atom_site_label
_atom_site_fract_x
_atom_site_fract_y
_atom_site_fract_z
_atom_site_occupancy
Fe1 0.000 0.000 0.500 1
Bi1 0.000 0.000 0.000 1
As1 0.500 0.500 0.500 1


# 4
# FeBiAs2 SCAN PBEsol geometry
# Crystal system = tetragonal
# ΔH_f (0 K) = 20 kJ/mol of atoms
data_FeBiAs2
_symmetry_space_group_name_H-M 'I -4 2 d'
_symmetry_Int_Tables_number 122
_symmetry_space_group_name_Hall 'I -4 2bw'
_cell_length_a 5.868
_cell_length_b 5.868
_cell_length_c 11.159
_cell_angle_alpha 90.00
_cell_angle_beta 90.00
_cell_angle_gamma 90.00
loop_
_atom_site_label
_atom_site_fract_x
_atom_site_fract_y
_atom_site_fract_z
_atom_site_occupancy
Fe1 0.000 0.000 0.000 1
Bi1 0.000 0.000 0.500 1
As1 0.160 0.250 0.125 1


Magnetic moment / μB per formula unit: 0.35 0.00 9.25 2.08
Uncorrected energy / eV/atom: -23.073 -28.264 -28.956 -34.064
Density of states at the Fermi level / states/eV/f.u.: 1.41 3.26 7.79 2.59